Material: AcPrRuPt
Method: DFT, PBE
State: relaxed

Magnetic moment: 0.0 μB per cell
Formation enthalpy at 0 K: -0.455 eV per atom
Volume: 24.58 A^3/atom

Cell lengths 7.3269, 7.3269, 7.3269 Å; angles 90.00, 90.00, 90.00 degrees
Closest atoms and distances in Å follow each position.
Space group F-43m (No. 216)
Unique sites:
Ac1 0.0000 0.0000 0.0000 (multiplicity 4)  4 Ru 3.17, 4 Pt 3.17
Pr1 0.0000 0.0000 0.5000 (multiplicity 4)  4 Ru 3.17, 4 Pt 3.17
Ru1 0.2500 0.2500 0.7500 (multiplicity 4)  4 Ac 3.17, 4 Pr 3.17
Pt1 0.2500 0.2500 0.2500 (multiplicity 4)  4 Ac 3.17, 4 Pr 3.17

Material: AcPrPtS
Method: DFT, PBE
State: relaxed

Magnetic moment: 0.0 μB per cell
Formation energy (no corrections): -1.506 eV/atom
Volume: 28.39 A^3/atom

Cell lengths 4.2129, 4.2129, 22.1632 Å; angles 90.00, 90.00, 120.00 degrees
Closest atoms and distances in Å follow each position.
Space group R3m (No. 160, hexagonal axes)
Unique sites:
Ac1 0.0000 0.0000 0.0000 (multiplicity 3)  3 Pt 3.04, 3 S 3.17
Pr1 0.0000 0.0000 0.5073 (multiplicity 3)  3 Pt 2.97, 3 S 3.04
Pt1 0.0000 0.0000 0.2507 (multiplicity 3)  3 Pr 2.97, 3 Ac 3.04
S1 0.0000 0.0000 0.7582 (multiplicity 3)  3 Pr 3.04, 3 Ac 3.17

Material: Ac2PrSb3Pt4
Method: DFT, PBE
State: relaxed

Magnetic moment: 0.0 μB per cell
Formation energy (no corrections): -0.953 eV/atom
Volume: 25.32 A^3/atom

Cell lengths 4.7024, 4.7024, 11.4492 Å; angles 90.00, 90.00, 90.00 degrees
Closest atoms and distances in Å follow each position.
Space group P-4m2 (No. 115)
Unique sites:
Ac1 0.0000 0.5000 0.2168 (multiplicity 2)  8 Pt 3.42-3.66, 4 Sb 3.50
Pr1 0.0000 0.0000 0.5000 (multiplicity 1)  4 Pt 2.91
Sb1 0.0000 0.5000 0.8784 (multiplicity 2)  5 Pt 2.62-2.73
Sb2 0.5000 0.5000 0.5000 (multiplicity 1)  4 Pt 2.91
Pt1 0.0000 0.0000 0.0000 (multiplicity 1)  4 Sb 2.73
Pt2 0.0000 0.5000 0.6496 (multiplicity 2)  3 Sb 2.62-2.91, 2 Pr 2.91
Pt3 0.5000 0.5000 0.0000 (multiplicity 1)  4 Sb 2.73

Material: AcPrSbPt
Method: DFT, PBE
State: relaxed

Magnetic moment: 3.1 μB per cell
Formation energy (no corrections): -0.844 eV/atom
Volume: 29.00 A^3/atom

Cell lengths 7.7421, 7.7421, 7.7421 Å; angles 90.00, 90.00, 90.00 degrees
Closest atoms and distances in Å follow each position.
Space group F-43m (No. 216)
Unique sites:
Ac1 0.0000 0.0000 0.0000 (multiplicity 4)  4 Sb 3.35, 4 Pt 3.35
Pr1 0.0000 0.0000 0.5000 (multiplicity 4)  4 Pt 3.35, 4 Sb 3.35
Sb1 0.2500 0.2500 0.7500 (multiplicity 4)  4 Pr 3.35, 4 Ac 3.35
Pt1 0.2500 0.2500 0.2500 (multiplicity 4)  4 Ac 3.35, 4 Pr 3.35

Material: Ac2PrSi3Pt4
Method: DFT, PBE
State: relaxed

Magnetic moment: 0.0 μB per cell
Formation energy (no corrections): -0.983 eV/atom
Volume: 21.74 A^3/atom

Cell lengths 4.3998, 4.3998, 11.2317 Å; angles 90.00, 90.00, 90.00 degrees
Closest atoms and distances in Å follow each position.
Space group P-4m2 (No. 115)
Unique sites:
Ac1 0.0000 0.5000 0.2276 (multiplicity 2)  8 Pt 3.30-3.37, 4 Si 3.38
Pr1 0.0000 0.0000 0.5000 (multiplicity 1)  4 Pt 2.95, 4 Si 3.11
Si1 0.0000 0.5000 0.8910 (multiplicity 2)  5 Pt 2.43-2.52
Si2 0.5000 0.5000 0.5000 (multiplicity 1)  4 Pt 2.95, 4 Pr 3.11
Pt1 0.0000 0.0000 0.0000 (multiplicity 1)  4 Si 2.52
Pt2 0.0000 0.5000 0.6745 (multiplicity 2)  1 Si 2.43
Pt3 0.5000 0.5000 0.0000 (multiplicity 1)  4 Si 2.52

Material: AcPrSiPt
Method: DFT, PBE
State: relaxed

Magnetic moment: 0.0 μB per cell
Formation energy (no corrections): -0.669 eV/atom
Volume: 26.41 A^3/atom

Cell lengths 7.5040, 7.5040, 7.5040 Å; angles 90.00, 90.00, 90.00 degrees
Closest atoms and distances in Å follow each position.
Space group F-43m (No. 216)
Unique sites:
Ac1 0.0000 0.0000 0.0000 (multiplicity 4)  4 Pt 3.25, 4 Si 3.25
Pr1 0.0000 0.0000 0.5000 (multiplicity 4)  4 Pt 3.25, 4 Si 3.25
Si1 0.2500 0.2500 0.2500 (multiplicity 4)  4 Ac 3.25, 4 Pr 3.25
Pt1 0.2500 0.2500 0.7500 (multiplicity 4)  4 Ac 3.25, 4 Pr 3.25

Material: AcPrSi2Pt5
Method: DFT, PBE
State: relaxed

Magnetic moment: 0.0 μB per cell
Formation energy (no corrections): -0.976 eV/atom
Volume: 19.27 A^3/atom

Cell lengths 4.3769, 4.3769, 9.0518 Å; angles 90.00, 90.00, 90.00 degrees
Closest atoms and distances in Å follow each position.
Space group P4/mmm (No. 123)
Unique sites:
Ac1 0.0000 0.0000 0.0000 (multiplicity 1)  12 Pt 3.09-3.12
Pr1 0.0000 0.0000 0.5000 (multiplicity 1)  8 Pt 3.18, 8 Si 3.33
Si1 0.5000 0.5000 0.3635 (multiplicity 2)  4 Pt 2.44, 1 Si 2.47
Pt1 0.0000 0.5000 0.2450 (multiplicity 4)  2 Si 2.44
Pt2 0.5000 0.5000 0.0000 (multiplicity 1)  4 Ac 3.09, 8 Pt 3.12, 2 Si 3.29

Material: Ac2PrSn4Pt3
Method: DFT, PBE
State: relaxed

Magnetic moment: 0.0 μB per cell
Formation enthalpy at 0 K: -0.825 eV per atom
Volume: 26.37 A^3/atom

Cell lengths 4.6141, 4.6141, 12.3881 Å; angles 90.00, 90.00, 90.00 degrees
Closest atoms and distances in Å follow each position.
Space group P-4m2 (No. 115)
Unique sites:
Ac1 0.0000 0.5000 0.2284 (multiplicity 2)  8 Sn 3.52-3.65, 4 Pt 3.53
Pr1 0.0000 0.0000 0.5000 (multiplicity 1)  4 Sn 3.07, 4 Pt 3.26
Sn1 0.0000 0.0000 0.0000 (multiplicity 1)  4 Pt 2.74
Sn2 0.0000 0.5000 0.6640 (multiplicity 2)  1 Pt 2.68
Sn3 0.5000 0.5000 0.0000 (multiplicity 1)  4 Pt 2.74
Pt1 0.0000 0.5000 0.8804 (multiplicity 2)  5 Sn 2.68-2.74
Pt2 0.5000 0.5000 0.5000 (multiplicity 1)  4 Sn 3.07, 4 Pr 3.26

Q: The highest volume belongs to which entry?
A: AcPrSbPt